one:
Below is a relaxed structure of BaSe2BrCl, with properties calculated at the GGA-PBE level. Values from VASP.

Output
Density of states at the Fermi level, states/eV/cell: 5.749
Theoretical density, Mg/m³: 2.49

Quantum ESPRESSO input file:
```
&SYSTEM
  ibrav = 0, nat = 5, ntyp = 4
/
ATOMIC_SPECIES
Se 78.96 Se.upf
Ba 137.33 Ba.upf
Br 79.90 Br.upf
Cl 35.45 Cl.upf
CELL_PARAMETERS angstrom
6.7004 0.0000 0.0000
0.0000 6.7004 0.0000
0.0000 0.0000 6.1106
ATOMIC_POSITIONS crystal
Se 0.0000 0.5000 0.0000
Se 0.5000 0.0000 0.0000
Ba 0.0000 0.0000 0.0000
Br 0.0000 0.0000 0.5000
Cl 0.5000 0.5000 0.5000
```

=====

two:
Below is a relaxed structure of BaSe2BrCl, with properties calculated at the GGA-PBE level. Values from VASP.

Output
Density of states at the Fermi level, states/eV/cell: 3.026
Theoretical density, Mg/m³: 4.39

Quantum ESPRESSO input file:
```
&SYSTEM
  ibrav = 0, nat = 5, ntyp = 4
/
ATOMIC_SPECIES
Se 78.96 Se.upf
Ba 137.33 Ba.upf
Br 79.90 Br.upf
Cl 35.45 Cl.upf
CELL_PARAMETERS angstrom
-0.7609 3.7977 3.0267
-4.2425 0.9710 -2.2848
-3.0911 -3.8797 4.0909
ATOMIC_POSITIONS crystal
Se 0.0000 0.5000 0.0000
Se 0.5000 0.0000 0.0000
Ba 0.5000 0.5000 0.5000
Br 0.0000 0.0000 0.5000
Cl 0.0000 0.0000 0.0000
```

=====

Which is the most stable structure? two is the most stable.

=====

one:
Below is a relaxed structure of Ba2CoBr, with properties calculated at the GGA-PBE level. Values from VASP.

Output
Density of states at the Fermi level, states/eV/cell: 5.160
Theoretical density, Mg/m³: 5.36

Quantum ESPRESSO input file:
```
&SYSTEM
  ibrav = 0, nat = 4, ntyp = 3
/
ATOMIC_SPECIES
Ba 137.33 Ba.upf
Br 79.90 Br.upf
Co 58.93 Co.upf
CELL_PARAMETERS angstrom
3.8905 0.0000 0.0000
0.0000 3.8897 0.0757
0.0000 3.7540 8.5373
ATOMIC_POSITIONS crystal
Ba 0.0000 0.0312 0.9681
Ba 0.0000 0.4688 0.5319
Br 0.5000 0.2500 0.2500
Co 0.5000 0.7500 0.7500
```

=====

two:
Below is a relaxed structure of Ba2CoBr, with properties calculated at the GGA-PBE level. Values from VASP.

Output
Density of states at the Fermi level, states/eV/cell: 4.351
Theoretical density, Mg/m³: 5.37

Quantum ESPRESSO input file:
```
&SYSTEM
  ibrav = 0, nat = 4, ntyp = 3
/
ATOMIC_SPECIES
Co 58.93 Co.upf
Ba 137.33 Ba.upf
Br 79.90 Br.upf
CELL_PARAMETERS angstrom
-1.1409 -4.5821 3.1130
-1.9679 0.5802 5.2706
-5.3631 -1.3527 1.1811
ATOMIC_POSITIONS crystal
Co 0.0000 0.0000 0.0000
Ba 0.2500 0.2500 0.2500
Ba 0.7500 0.7500 0.7500
Br 0.5000 0.5000 0.5000
```

=====

three:
Below is a relaxed structure of Ba2CoBr, with properties calculated at the GGA-PBE level. Values from VASP.

Output
Density of states at the Fermi level, states/eV/cell: 4.363
Theoretical density, Mg/m³: 4.70

Quantum ESPRESSO input file:
```
&SYSTEM
  ibrav = 0, nat = 4, ntyp = 3
/
ATOMIC_SPECIES
Ba 137.33 Ba.upf
Br 79.90 Br.upf
Co 58.93 Co.upf
CELL_PARAMETERS angstrom
-3.0557 2.5773 1.9845
-2.6913 -1.7274 3.1130
3.7018 2.3304 7.6943
ATOMIC_POSITIONS crystal
Ba 0.0115 0.0115 0.9673
Ba 0.4885 0.4885 0.5327
Br 0.2500 0.2500 0.2500
Co 0.7500 0.7500 0.7500
```

=====

Which is the most stable structure? three is the most stable.

=====

one:
Below is a relaxed structure of Ba2CoBr, with properties calculated at the GGA-PBE level. Values from VASP.

Output
Density of states at the Fermi level, states/eV/cell: 6.048
Theoretical density, Mg/m³: 5.46

Quantum ESPRESSO input file:
```
&SYSTEM
  ibrav = 0, nat = 4, ntyp = 3
/
ATOMIC_SPECIES
Ba 137.33 Ba.upf
Br 79.90 Br.upf
Co 58.93 Co.upf
CELL_PARAMETERS angstrom
5.7225 0.0000 0.0000
0.0000 5.7292 0.0000
0.0000 0.0000 3.8389
ATOMIC_POSITIONS crystal
Ba 0.0000 0.0000 0.0000
Ba 0.5000 0.5000 0.0000
Br 0.5000 0.0000 0.5000
Co 0.0000 0.5000 0.5000
```

=====

two:
Below is a relaxed structure of Ba2CoBr, with properties calculated at the GGA-PBE level. Values from VASP.

Output
Density of states at the Fermi level, states/eV/cell: 3.161
Theoretical density, Mg/m³: 4.75

Quantum ESPRESSO input file:
```
&SYSTEM
  ibrav = 0, nat = 4, ntyp = 3
/
ATOMIC_SPECIES
Ba 137.33 Ba.upf
Br 79.90 Br.upf
Co 58.93 Co.upf
CELL_PARAMETERS angstrom
-2.7044 -3.6339 1.3026
0.4628 -1.8847 -4.2952
5.2922 -3.2266 1.9861
ATOMIC_POSITIONS crystal
Ba 0.0000 0.0000 0.8723
Ba 0.5000 0.5000 0.4083
Br 0.0000 0.0000 0.3694
Co 0.5000 0.5000 0.8500
```

=====

Which is the most stable structure? two is the most stable.